1.
An optimized crystal structure of NaScTeRu2. Source: Alexandria via LeMat-Bulk, functional PBE-GGA.

Crystal system ... tetragonal
ΔE_f (raw) ... 0.861 eV/atom
Total magnetic moment ... 3.28 μB/f.u.

Cell: 4.7852 4.7852 5.6006 Å, 90.00 90.00 90.00°
Closest atoms and distances in Å follow each position.
Space group P4/mmm (No. 123)
Unique sites:
Na  0.0000  0.0000  0.0000 (multiplicity 1)  4 Te 3.38, 8 Ru 3.68
Sc  0.5000  0.5000  0.5000 (multiplicity 1)  4 Ru 2.39
Te  0.5000  0.5000  0.0000 (multiplicity 1)  2 Sc 2.80
Ru  0.0000  0.5000  0.5000 (multiplicity 2)  2 Sc 2.39

***

2.
An optimized crystal structure of Sc3Tl3ZnTe8. Source: Alexandria via LeMat-Bulk, functional PBE-GGA.

Crystal system ... monoclinic
ΔE_f (raw) ... -0.703 eV/atom
Total magnetic moment ... 0.00 μB/f.u.

Cell: 14.4675 8.3412 9.4897 Å, 90.00 120.57 90.00°
Closest atoms and distances in Å follow each position.
Space group C2/m (No. 12)
Unique sites:
Sc  0.0000  0.0000  0.0000 (multiplicity 2)  6 Te 2.91-2.94
Sc  0.2500  0.2500  0.0000 (multiplicity 4)  6 Te 2.91-2.94
Tl  0.0000  0.5000  0.5000 (multiplicity 2)  6 Te 3.40-3.43
Tl  0.2500  0.2500  0.5000 (multiplicity 4)  6 Te 3.40-3.43
Zn  0.0000  0.5000  0.0000 (multiplicity 2)  6 Te 2.90-2.92
Te  0.0166  0.2495  0.7992 (multiplicity 8)  2 Sc 2.91, 1 Zn 2.92
Te  0.2326  0.5000  0.1998 (multiplicity 4)  1 Zn 2.90, 2 Sc 2.91
Te  0.2354  0.0000  0.2061 (multiplicity 4)  3 Sc 2.94

***

3.
An optimized crystal structure of Mg2AsPt. Source: Alexandria via LeMat-Bulk, functional PBE-GGA.

Crystal system ... tetragonal
Total magnetic moment ... 0.00 μB/f.u.
Energy of formation from the pure elements ... -12.07 kcal/mol of atoms

Cell: 4.3986 4.3986 7.2353 Å, 90.00 90.00 90.00°
Closest atoms and distances in Å follow each position.
Space group I4/mmm (No. 139)
Unique sites:
Mg  0.0000  0.5000  0.2500 (multiplicity 4)  4 As 2.85, 4 Pt 2.85, 4 Mg 3.11
As  0.0000  0.0000  0.0000 (multiplicity 2)  8 Mg 2.85, 4 Pt 3.11
Pt  0.0000  0.0000  0.5000 (multiplicity 2)  8 Mg 2.85, 4 As 3.11

***

4.
An optimized crystal structure of RbAg2PS. Source: Alexandria via LeMat-Bulk, functional PBE-GGA.

Crystal system ... tetragonal
ΔE_f (raw) ... -0.065 eV/atom
Total magnetic moment ... 0.00 μB/f.u.

Cell: 4.7946 4.7946 5.4154 Å, 90.00 90.00 90.00°
Closest atoms and distances in Å follow each position.
Space group P4/mmm (No. 123)
Unique sites:
Rb  0.0000  0.0000  0.0000 (multiplicity 1)  4 S 3.39, 8 Ag 3.62
Ag  0.0000  0.5000  0.5000 (multiplicity 2)  2 P 2.40
P  0.5000  0.5000  0.5000 (multiplicity 1)  4 Ag 2.40
S  0.5000  0.5000  0.0000 (multiplicity 1)  2 P 2.71

***

5.
An optimized crystal structure of Ta3BIr. Source: Alexandria via LeMat-Bulk, functional PBE-GGA.

Crystal system ... cubic
Total magnetic moment ... 0.00 μB/f.u.
Excess energy over the best structure of this formula in the dataset ... 0 meV per atom
Energy of formation from the pure elements ... -3.52 kcal/mol of atoms

Cell: 4.3006 4.3006 4.3006 Å, 90.00 90.00 90.00°
Closest atoms and distances in Å follow each position.
Space group Pm-3m (No. 221)
Unique sites:
Ta  0.0000  0.0000  0.5000 (multiplicity 3)  2 B 2.15
B  0.0000  0.0000  0.0000 (multiplicity 1)  6 Ta 2.15
Ir  0.5000  0.5000  0.5000 (multiplicity 1)  12 Ta 3.04

***

6.
An optimized crystal structure of Tl2GaCuS4. Source: Alexandria via LeMat-Bulk, functional PBE-GGA.

Crystal system ... tetragonal
ΔE_f (raw) ... -0.339 eV/atom
Total magnetic moment ... 0.00 μB/f.u.

Cell: 6.7949 6.7949 8.1500 Å, 90.00 90.00 90.00°
Closest atoms and distances in Å follow each position.
Space group I-4 (No. 82)
Unique sites:
Tl  0.0000  0.0000  0.0000 (multiplicity 2)  8 S 3.15-3.43
Tl  0.0000  0.5000  0.2500 (multiplicity 2)  4 S 2.84
Ga  0.0000  0.0000  0.5000 (multiplicity 2)  4 S 2.30
Cu  0.0000  0.5000  0.7500 (multiplicity 2)  4 S 2.32
S  0.1708  0.2286  0.6525 (multiplicity 8)  1 Ga 2.30, 1 Cu 2.32

***

Number 1: Fermi-level density of states 7.5 states/eV/cell. Number 2: Fermi-level density of states 16.7 states/eV/cell. Number 3: Fermi-level density of states 2.7 states/eV/cell. Number 4: Fermi-level density of states 1.2 states/eV/cell. Number 5: Fermi-level density of states 4.7 states/eV/cell. Number 6: Fermi-level density of states 4.0 states/eV/cell.